## Pm6Nd3Sc2 (PBE)

Data for an optimized crystal structure of Pm6Nd3Sc2.

Space group   No. 65
Total DFT energy (no corrections)   -53.9 eV for the cell shown
Formation energy   0.14 eV/atom
V   33.25 A^3/atom
Total magnetic moment   0.000 μB per formula unit

Lattice parameters (Å, degrees): 5.8024 6.7251 11.8969 77.87 60.84 64.44
Atoms (fractional coordinates):
Pm  0.4684  0.6985  0.6830
Pm  0.7144  0.0000  0.7863
Pm  0.1669  0.3015  0.6830
Pm  0.2856  0.0000  0.2137
Pm  0.5316  0.3015  0.3170
Pm  0.8331  0.6985  0.3170
Nd  0.0000  0.0000  0.0000
Nd  0.2952  0.4096  0.0000
Nd  0.7048  0.5904  0.0000
Sc  0.1274  0.7453  0.5000
Sc  0.8726  0.2547  0.5000